# PBE Tm6ZnCu2, relaxed
# Magnetization: 0.00 μB per cell
# Crystal system: orthorhombic
# Fermi-level density of states: 32.9 states/eV per cell
# Energy: -4.23 eV per atom
# Formation enthalpy at 0 K: -195 meV per atom
data_Tm6ZnCu2
_space_group_name_H-M_alt 'I m m m'
_space_group_IT_number 71
_space_group_name_Hall '-I 2 2'
_cell_length_a 9.3527
_cell_length_b 9.4613
_cell_length_c 9.8565
_cell_angle_alpha 90.00
_cell_angle_beta 90.00
_cell_angle_gamma 90.00
loop_
_atom_site_label
_atom_site_type_symbol
_atom_site_fract_x
_atom_site_fract_y
_atom_site_fract_z
Tm1 Tm 0.0000 0.1911 0.2437
Tm2 Tm 0.2016 0.5000 0.1756
Tm3 Tm 0.2254 0.3198 0.5000
Zn1 Zn 0.0000 0.0000 0.0000
Zn2 Zn 0.0000 0.0000 0.5000
Cu1 Cu 0.0000 0.3503 0.0000
Cu2 Cu 0.0000 0.5000 0.3786



# PBE RbBiSe2, relaxed
# Magnetization: 0.00 μB per cell
# Uncorrected formation energy: -0.648 eV/atom
# Crystal system: tetragonal
# Fermi-level density of states: 0.0 states/eV per cell
# Energy: -3.60 eV per atom
data_RbBiSe2
_space_group_name_H-M_alt 'I -4 2 d'
_space_group_IT_number 122
_space_group_name_Hall 'I -4 2bw'
_cell_length_a 8.0726
_cell_length_b 8.0726
_cell_length_c 10.3243
_cell_angle_alpha 90.00
_cell_angle_beta 90.00
_cell_angle_gamma 90.00
loop_
_atom_site_label
_atom_site_type_symbol
_atom_site_fract_x
_atom_site_fract_y
_atom_site_fract_z
Rb1 Rb 0.0000 0.0000 0.0000
Bi1 Bi 0.0000 0.0000 0.5000
Se1 Se 0.1870 0.2500 0.6250



# PBE CdSBr2, relaxed
# Magnetization: 0.30 μB per cell
# Uncorrected formation energy: -0.538 eV/atom
# Crystal system: triclinic
# Fermi-level density of states: 2.2 states/eV per cell
# Energy: -2.64 eV per atom
# Energy above the lowest structure with this stoichiometry: 3 meV per atom
data_CdSBr2
_space_group_name_H-M_alt 'P -1'
_space_group_IT_number 2
_cell_length_a 3.9344
_cell_length_b 7.1388
_cell_length_c 11.1562
_cell_angle_alpha 83.89
_cell_angle_beta 80.49
_cell_angle_gamma 89.95
loop_
_space_group_symop_operation_xyz
'x,y,z'
'-x,-y,-z'
loop_
_atom_site_label
_atom_site_type_symbol
_atom_site_fract_x
_atom_site_fract_y
_atom_site_fract_z
Cd1 Cd 0.0000 0.0000 0.0000
Cd2 Cd 0.5000 0.5000 0.0000
S1 S 0.2066 0.0733 0.5022
Br1 Br 0.0681 0.6913 0.8545
Br2 Br 0.4322 0.8086 0.1455



# PBE LaZn2Tc, relaxed
# Magnetization: 4.13 μB per cell
# Crystal system: trigonal
# Fermi-level density of states: 10.5 states/eV per cell
# Energy: -4.03 eV per atom
# Energy above the lowest structure with this stoichiometry: 437 meV per atom
# Formation enthalpy at 0 K: 429 meV per atom
data_LaZn2Tc
_space_group_name_H-M_alt 'R 3 m'
_space_group_IT_number 160
_space_group_name_Hall 'R 3 -2"'
_cell_length_a 3.0084
_cell_length_b 3.0084
_cell_length_c 29.2733
_cell_angle_alpha 90.00
_cell_angle_beta 90.00
_cell_angle_gamma 120.00
loop_
_atom_site_label
_atom_site_type_symbol
_atom_site_fract_x
_atom_site_fract_y
_atom_site_fract_z
La1 La 0.0000 0.0000 0.0000
Zn1 Zn 0.0000 0.0000 0.5053
Zn2 Zn 0.0000 0.0000 0.7635
Tc1 Tc 0.0000 0.0000 0.2417



# PBE Ca2ScPaBi4, relaxed
# Magnetization: 0.13 μB per cell
# Crystal system: monoclinic
# Energy: -5.02 eV per atom
# Formation enthalpy at 0 K: -604 meV per atom
data_Ca2ScPaBi4
_space_group_name_H-M_alt 'P 1 2/m 1'
_space_group_IT_number 10
_cell_length_a 7.6773
_cell_length_b 4.5131
_cell_length_c 7.8832
_cell_angle_alpha 90.00
_cell_angle_beta 109.19
_cell_angle_gamma 90.00
loop_
_space_group_symop_operation_xyz
'x,y,z'
'-x,-y,-z'
'-x,y,-z'
'x,-y,z'
loop_
_atom_site_label
_atom_site_type_symbol
_atom_site_fract_x
_atom_site_fract_y
_atom_site_fract_z
Ca1 Ca 0.0000 0.0000 0.0000
Ca2 Ca 0.5000 0.5000 0.0000
Sc1 Sc 0.0000 0.5000 0.5000
Pa1 Pa 0.5000 0.0000 0.5000
Bi1 Bi 0.2396 0.0000 0.7286
Bi2 Bi 0.2507 0.5000 0.2668



# PBE BaNiHg3, relaxed
# Magnetization: 0.00 μB per cell
# Crystal system: cubic
# Fermi-level density of states: 1.6 states/eV per cell
# Energy: -1.99 eV per atom
# Formation enthalpy at 0 K: -270 meV per atom
data_BaNiHg3
_space_group_name_H-M_alt 'P m -3 m'
_space_group_IT_number 221
_space_group_name_Hall '-P 4 2 3'
_cell_length_a 5.1463
_cell_length_b 5.1463
_cell_length_c 5.1463
_cell_angle_alpha 90.00
_cell_angle_beta 90.00
_cell_angle_gamma 90.00
loop_
_atom_site_label
_atom_site_type_symbol
_atom_site_fract_x
_atom_site_fract_y
_atom_site_fract_z
Ba1 Ba 0.0000 0.0000 0.0000
Ni1 Ni 0.5000 0.5000 0.5000
Hg1 Hg 0.0000 0.5000 0.5000